Below is a relaxed ReRhS2 crystal, with properties calculated at the PBE level.

Unit cell a=6.3995 b=6.3995 c=6.3995 alpha=131.08 beta=131.08 gamma=71.69
Positions (direct):
Re  0.0000  0.0000  0.0000
Re  0.7500  0.2500  0.5000
Rh  0.2500  0.7500  0.5000
Rh  0.5000  0.5000  0.0000
S  0.1171  0.6250  0.9921
S  0.3750  0.3671  0.4921
S  0.6329  0.1250  0.0079
S  0.8750  0.8829  0.5079

Output
Total moment in μB/atom: 0.000
Total DFT energy (no corrections) in eV/atom: -7.057
Formation energy from raw total energies in kJ/mol of formula units: -17
Fermi-level density of states in states/eV per atom: 0.682
Offset from the most stable computed form in meV per atom: 26

***

Below is a relaxed ReRhS4 crystal, with properties calculated at the PBE level.

Unit cell a=7.6100 b=7.6100 c=5.2342 alpha=108.83 beta=108.83 gamma=119.22
Positions (direct):
Re  0.0533  0.9467  0.7500
Re  0.9467  0.0533  0.2500
Rh  0.3135  0.6865  0.2500
Rh  0.6865  0.3135  0.7500
S  0.0186  0.6226  0.7918
S  0.2198  0.3310  0.8384
S  0.3310  0.2198  0.3384
S  0.3774  0.9814  0.7082
S  0.6226  0.0186  0.2918
S  0.6690  0.7802  0.6616
S  0.7802  0.6690  0.1616
S  0.9814  0.3774  0.2082

Output
Total moment in μB/atom: 0.000
Total DFT energy (no corrections) in eV/atom: -6.289
Formation energy from raw total energies in kJ/mol of formula units: -137
Fermi-level density of states in states/eV per atom: 0.629

***

Below is a relaxed ReRhS2 crystal, with properties calculated at the PBE level.

Unit cell a=4.2583 b=4.2583 c=4.2583 alpha=60.00 beta=60.00 gamma=60.00
Positions (direct):
Re  0.0000  0.0000  0.0000
Rh  0.5000  0.5000  0.5000
S  0.2500  0.2500  0.2500
S  0.7500  0.7500  0.7500

Output
Total moment in μB/atom: 0.000
Total DFT energy (no corrections) in eV/atom: -6.722
Formation energy from raw total energies in kJ/mol of formula units: 112
Fermi-level density of states in states/eV per atom: 0.923
Offset from the most stable computed form in meV per atom: 361